(1)
Computed, not measured: crystalline ScNi2Ag at its relaxed geometry at the GGA-PBE level of DFT.

The structure in POSCAR format:
```
ScNi2Ag
1.0
-1.771 -3.864 1.126
2.180 -3.734 -0.800
1.700 -2.310 3.333
Ni Sc Ag
2 1 1
Cartesian
0.000 0.000 0.000
0.527 -2.477 0.915
1.582 -7.431 2.744
1.055 -4.954 1.829
```

Results
size of the total moment: 0.00 μB per cell
energy of formation from the pure elements: -0.103 eV per atom
final energy: -21.16 eV per cell
symmetry: F-43m (216)
density of states at the Fermi level: 2.6 states/eV per cell


(2)
Computed, not measured: crystalline SmCuPt at its relaxed geometry at the GGA-PBE level of DFT.

The structure in POSCAR format:
```
SmCuPt
1.0
3.683 0.000 0.000
0.000 4.377 0.000
0.000 -2.189 3.791
Pt Cu Sm
1 1 1
Cartesian
0.614 0.000 0.000
0.614 2.189 1.264
2.455 0.000 2.527
```

Results
size of the total moment: 0.00 μB per cell
energy of formation from the pure elements: -0.743 eV per atom
final energy: -17.08 eV per cell
symmetry: P-6m2 (187)
density of states at the Fermi level: 1.6 states/eV per cell
E above lowest polymorph: 0.029 eV/atom


(3)
Computed, not measured: crystalline GaSbI at its relaxed geometry at the GGA-PBE level of DFT.

The structure in POSCAR format:
```
GaSbI
1.0
-2.073 -0.664 -3.508
9.245 -3.674 2.519
-5.130 -4.192 3.843
Ga I Sb
2 2 2
Cartesian
1.364 -7.503 3.060
0.677 -1.027 -0.206
-1.330 -2.762 -1.120
3.371 -5.768 3.974
4.145 -2.992 0.545
-2.105 -5.538 2.309
```

Results
size of the total moment: 0.00 μB per cell
final energy: -18.73 eV per cell
symmetry: P-1 (2)
ΔE_f (raw): -221 meV/atom
E above lowest polymorph: 0.000 eV/atom


(4)
Computed, not measured: crystalline NbReB3 at its relaxed geometry at the GGA-PBE level of DFT.

The structure in POSCAR format:
```
NbReB3
1.0
4.029 0.000 0.000
0.000 4.029 0.000
0.000 0.000 4.029
B Nb Re
3 1 1
Cartesian
2.014 0.000 0.000
0.000 2.014 0.000
0.000 0.000 2.014
0.000 0.000 0.000
2.014 2.014 2.014
```

Results
size of the total moment: 0.34 μB per cell
energy of formation from the pure elements: 1.965 eV per atom
final energy: -32.72 eV per cell
symmetry: Pm-3m (221)
density of states at the Fermi level: 3.8 states/eV per cell
E above lowest polymorph: 2.460 eV/atom


(5)
Computed, not measured: crystalline La3TiV at its relaxed geometry at the GGA-PBE level of DFT.

The structure in POSCAR format:
```
La3TiV
1.0
-5.053 0.846 1.810
-1.985 -2.689 -4.284
0.229 -4.645 2.810
La V Ti
3 1 1
Cartesian
0.114 -2.322 1.405
-0.993 -1.345 -2.142
-2.526 0.423 0.905
0.000 0.000 0.000
-3.405 -3.244 0.168
```

Results
size of the total moment: 3.80 μB per cell
energy of formation from the pure elements: 0.724 eV per atom
final energy: -28.17 eV per cell
symmetry: Pm-3m (221)
density of states at the Fermi level: 12.5 states/eV per cell
E above lowest polymorph: 0.000 eV/atom


(6)
Computed, not measured: crystalline Pm2Cu3Pd2 at its relaxed geometry at the GGA-PBE level of DFT.

The structure in POSCAR format:
```
Pm2Cu3Pd2
1.0
-1.610 3.732 1.618
-3.732 -3.846 -0.756
3.095 -1.100 5.618
Pd Cu Pm
2 3 2
Cartesian
-0.595 -0.771 1.186
-1.652 -0.444 5.294
-1.825 -2.217 3.298
-0.423 1.002 3.182
-0.805 1.866 0.809
0.967 -1.415 4.227
-3.214 0.200 2.253
```

Results
size of the total moment: 0.00 μB per cell
energy of formation from the pure elements: -0.463 eV per atom
final energy: -35.42 eV per cell
symmetry: C2/m (12)
density of states at the Fermi level: 3.2 states/eV per cell


(7)
Computed, not measured: crystalline Ac16Os3Pt5 at its relaxed geometry at the GGA-PBE level of DFT.

The structure in POSCAR format:
```
Ac16Os3Pt5
1.0
8.790 0.064 0.037
4.345 7.641 0.037
-0.020 -0.012 14.047
Os Ac Pt
3 16 5
Cartesian
4.361 5.096 4.012
6.576 1.320 4.012
10.932 6.413 11.047
6.706 3.934 9.343
13.074 7.670 9.490
8.672 2.519 5.690
6.430 6.340 5.690
2.352 3.787 2.324
4.264 5.157 12.716
6.405 3.757 2.326
2.141 1.256 12.722
13.073 7.669 2.490
8.797 7.497 9.326
4.453 0.205 2.324
6.582 1.205 12.716
10.999 6.453 5.669
10.836 4.020 9.326
8.843 5.188 12.710
4.446 2.608 5.622
8.710 5.110 7.405
8.772 2.605 11.091
6.554 6.386 11.091
2.181 1.280 4.044
4.348 2.551 0.335
```

Results
size of the total moment: 0.00 μB per cell
energy of formation from the pure elements: -0.531 eV per atom
final energy: -142.36 eV per cell
symmetry: Cm (8)
density of states at the Fermi level: 23.0 states/eV per cell


(8)
Computed, not measured: crystalline ErCo4Si4 at its relaxed geometry at the GGA-PBE level of DFT.

The structure in POSCAR format:
```
ErCo4Si4
1.0
-0.816 -3.883 3.908
4.897 1.299 2.313
-3.499 5.234 4.470
Si Co Er
8 8 2
Cartesian
-1.349 0.533 2.556
-0.964 3.950 3.723
1.085 4.493 4.691
-2.244 2.609 6.093
1.639 0.792 2.790
1.165 -1.466 5.063
-1.690 -1.092 4.192
0.604 3.365 7.438
0.333 -1.047 2.998
2.955 -0.352 4.236
-0.042 2.372 2.348
2.233 2.976 3.423
-1.281 2.310 8.121
-0.844 4.389 6.028
-2.744 0.366 5.603
-2.364 2.170 3.787
0.291 1.325 5.346
0.000 0.000 0.000
```

Results
size of the total moment: 0.00 μB per cell
final energy: -119.73 eV per cell
symmetry: P4_2/nmc (137)
ΔE_f (raw): -576 meV/atom
density of states at the Fermi level: 12.1 states/eV per cell


Number 1: density 7.5 g/cm3. Number 2: density 11.1 g/cm3. Number 3: density 4.4 g/cm3. Number 4: density 7.9 g/cm3. Number 5: density 5.3 g/cm3. Number 6: density 8.8 g/cm3. Number 7: density 9.2 g/cm3. Number 8: density 7.1 g/cm3.